No. 1
# Sc5PaP6 | the Alexandria database | PBE | optimized geometry
data_Sc5PaP6
_chemical_formula_sum 'Sc10 Pa2 P12'
_space_group_name_H-M_alt 'C 1 2/m 1'
_space_group_IT_number 12
_cell_length_a 6.577
_cell_length_b 11.399
_cell_length_c 6.577
_cell_angle_alpha 90.00
_cell_angle_beta 109.46
_cell_angle_gamma 90.00
loop_
_space_group_symop_operation_xyz
'x,y,z'
'-x,-y,-z'
'-x,y,-z'
'x,-y,z'
'x+1/2,y+1/2,z'
'-x+1/2,-y+1/2,-z'
'-x+1/2,y+1/2,-z'
'x+1/2,-y+1/2,z'
loop_
_atom_site_label
_atom_site_type_symbol
_atom_site_fract_x
_atom_site_fract_y
_atom_site_fract_z
Sc1 Sc 0.000 0.000 0.000
Sc2 Sc 0.000 0.167 0.500
Sc3 Sc 0.000 0.334 0.000
Pa1 Pa 0.000 0.500 0.500
P1 P 0.246 0.000 0.752
P2 P 0.246 0.169 0.245
# Energy: -7.609 eV per atom
# Formation enthalpy at 0 K: -1.4746 eV per atom
# Crystal system: monoclinic


No. 2
# TmSc2Zn2 | the Alexandria database | PBE | optimized geometry
data_TmSc2Zn2
_chemical_formula_sum 'Tm2 Sc4 Zn4'
_space_group_name_H-M_alt 'P 1 21/m 1'
_space_group_IT_number 11
_cell_length_a 3.429
_cell_length_b 4.898
_cell_length_c 12.679
_cell_angle_alpha 90.00
_cell_angle_beta 97.76
_cell_angle_gamma 90.00
loop_
_space_group_symop_operation_xyz
'x,y,z'
'-x,-y,-z'
'-x,y+1/2,-z'
'x,-y+1/2,z'
loop_
_atom_site_label
_atom_site_type_symbol
_atom_site_fract_x
_atom_site_fract_y
_atom_site_fract_z
Tm1 Tm 0.145 0.250 0.290
Sc1 Sc 0.046 0.750 0.093
Sc2 Sc 0.234 0.750 0.468
Zn1 Zn 0.359 0.250 0.718
Zn2 Zn 0.454 0.750 0.908
# Energy: -4.221 eV per atom
# Formation enthalpy at 0 K: -0.2843 eV per atom
# Crystal system: monoclinic